## SmTl3As2O6 (PBE-GGA)

Data for an optimized crystal structure of SmTl3As2O6.

Calculated values
space group	No. 164
DFT total energy	-69.400	eV for the cell shown

Cell lengths 6.0826, 6.0826, 7.3702 Å; angles 90.00, 90.00, 120.00 degrees
Sites, in units of the cell vectors:
Sm1 0.0000 0.0000 0.5000
Tl1 0.3333 0.6667 0.6752
Tl2 0.6667 0.3333 0.3248
Tl3 0.0000 0.0000 0.0000
As1 0.6667 0.3333 0.7944
As2 0.3333 0.6667 0.2056
O1 0.6368 0.8184 0.3177
O2 0.1816 0.3632 0.3177
O3 0.1816 0.8184 0.3177
O4 0.8184 0.6368 0.6823
O5 0.3632 0.1816 0.6823
O6 0.8184 0.1816 0.6823